A geometry-optimized CdFe2BO4 structure. Source: the Alexandria database, functional PBE+U.

- volume (Å³ per cell) = 425
- total DFT energy (no corrections) (eV per cell) = -194.55

Cell lengths 8.484, 10.273, 6.175 Å; angles 90.00, 127.79, 90.00 degrees
Space group C2/c (No. 15)
Asymmetric unit:
Cd1 0.000 0.000 0.000
Fe1 0.000 0.500 0.000
Fe2 0.250 0.250 0.000
B1 0.250 0.250 0.500
O1 0.131 0.267 0.559
O2 0.211 0.440 0.976